[1]
Density functional theory data (GGA-PBE) for an optimized crystal structure of Co2SbAs.

Unit cell a=6.226 b=6.226 c=6.226 alpha=90.00 beta=90.00 gamma=90.00
Space group Fm-3m (No. 225)
One atom of each set of equivalent atoms:
Co1 0.250 0.250 0.250 [8 per cell]
Sb1 0.000 0.000 0.000 [4 per cell]
As1 0.000 0.000 0.500 [4 per cell]

Summary:
Total DFT energy (no corrections): -5.526 eV/atom

[2]
Density functional theory data (GGA-PBE) for an optimized crystal structure of CoSbAs.

Unit cell a=6.231 b=6.145 c=6.265 alpha=90.00 beta=116.15 gamma=90.00
Space group P2_1/c (No. 14)
One atom of each set of equivalent atoms:
Co1 0.212 0.010 0.206 [4 per cell]
Sb1 0.348 0.633 0.135 [4 per cell]
As1 0.148 0.144 0.833 [4 per cell]

Summary:
Total DFT energy (no corrections): -5.575 eV/atom

[3]
Density functional theory data (GGA-PBE) for an optimized crystal structure of Co2SbAs.

Unit cell a=3.402 b=3.402 c=5.188 alpha=90.00 beta=90.00 gamma=90.00
Space group P4mm (No. 99)
One atom of each set of equivalent atoms:
Co1 0.000 0.000 0.000 [1 per cell]
Co2 0.500 0.500 0.332 [1 per cell]
Sb1 0.000 0.000 0.499 [1 per cell]
As1 0.500 0.500 0.889 [1 per cell]

Summary:
Total DFT energy (no corrections): -5.749 eV/atom

[4]
Density functional theory data (GGA-PBE) for an optimized crystal structure of CoSbAs.

Unit cell a=3.6059 b=3.6059 c=5.1357 alpha=90.00 beta=90.00 gamma=120.00
Space group P3m1 (No. 156)
One atom of each set of equivalent atoms:
Co1 0.0000 0.0000 0.0000 [1 per cell]
Sb1 0.6667 0.3333 0.3043 [1 per cell]
As1 0.3333 0.6667 0.8037 [1 per cell]

Summary:
Total DFT energy (no corrections): -5.311 eV/atom

[5]
Density functional theory data (GGA-PBE) for an optimized crystal structure of Co2SbAs.

Unit cell a=4.295 b=4.295 c=3.238 alpha=90.00 beta=90.00 gamma=90.00
Space group P4/mmm (No. 123)
One atom of each set of equivalent atoms:
Co1 0.000 0.500 0.000 [2 per cell]
Sb1 0.000 0.000 0.500 [1 per cell]
As1 0.500 0.500 0.500 [1 per cell]

Summary:
Total DFT energy (no corrections): -5.516 eV/atom

[6]
Density functional theory data (GGA-PBE) for an optimized crystal structure of CoSbAs.

Unit cell a=6.048 b=6.048 c=6.048 alpha=90.00 beta=90.00 gamma=90.00
Space group F-43m (No. 216)
One atom of each set of equivalent atoms:
Co1 0.000 0.000 0.000 [4 per cell]
Sb1 0.250 0.250 0.250 [4 per cell]
As1 0.250 0.250 0.750 [4 per cell]

Summary:
Total DFT energy (no corrections): -5.334 eV/atom

[7]
Density functional theory data (GGA-PBE) for an optimized crystal structure of CoSbAs3.

Unit cell a=4.657 b=4.657 c=4.657 alpha=90.00 beta=90.00 gamma=90.00
Space group Pm-3m (No. 221)
One atom of each set of equivalent atoms:
Co1 0.000 0.000 0.000 [1 per cell]
Sb1 0.500 0.500 0.500 [1 per cell]
As1 0.000 0.000 0.500 [3 per cell]

Summary:
Distance to the lowest polymorph of the same formula: 0 meV per atom

[8]
Density functional theory data (GGA-PBE) for an optimized crystal structure of Co2SbAs.

Unit cell a=4.236 b=4.236 c=15.113 alpha=90.00 beta=90.00 gamma=90.00
Space group I-42d (No. 122)
One atom of each set of equivalent atoms:
Co1 0.200 0.250 0.125 [8 per cell]
Sb1 0.000 0.000 0.500 [4 per cell]
As1 0.000 0.000 0.000 [4 per cell]

Summary:
Total DFT energy (no corrections): -5.600 eV/atom